Arrangement 1

Crystalline Dy3YEr4 at its relaxed geometry. Source: the Alexandria database, functional PBE-GGA.

Values from the calculation:
Mass density = 8.2 g/cm3
D(E_F) = 1.666 states/eV/atom
Total magnetization = 0.0 μB/f.u.
Symmetry = Pmn2_1 (31)

```
16
Lattice="-4.0201 -3.1525 3.5960 5.2008 -4.7368 1.6615 2.9174 6.2776 8.7648" Properties=species:S:1:pos:R:3 pbc="T T T"
Dy 0.6534 -5.0095 3.3705
Dy 0.0387 -4.4913 6.7652
Dy 0.7348 -1.7224 4.5439
Dy 2.8073 0.9031 5.5348
Dy 2.1948 1.4192 8.9302
Dy 1.4960 -1.3553 11.1436
Y 1.3523 -2.2370 1.1521
Y 2.1109 -1.8675 7.7510
Er 3.9628 -4.6130 1.9850
Er -1.9611 -2.6292 2.5359
Er -2.5659 -2.1032 5.9267
Er 3.3545 -4.0987 5.3689
Er 5.4207 -1.4780 6.3704
Er -0.4977 0.5099 6.9165
Er 4.8166 -0.9527 9.7614
Er -1.1106 1.0284 10.2990
```

Arrangement 2

Crystalline Dy3YEr4 at its relaxed geometry. Source: the Alexandria database, functional PBE-GGA.

Values from the calculation:
Mass density = 8.3 g/cm3
D(E_F) = 1.463 states/eV/atom
Total magnetization = 0.0 μB/f.u.
Symmetry = Pmmm (47)

```
8
Lattice="-3.5287 0.1594 0.0365 -3.7318 -5.2910 4.5026 -3.1641 6.4659 7.7497" Properties=species:S:1:pos:R:3 pbc="T T T"
Y -6.7944 3.8995 10.0196
Er -5.1729 0.8719 9.1853
Er -5.3546 -2.2701 5.3422
Er -5.2521 0.4609 3.1045
Er -5.0705 3.6025 6.9469
Dy -3.3467 3.3118 3.8932
Dy -6.6930 6.6242 7.7867
Dy -6.9769 0.7459 6.1630
```

Which is most stable, and by how much? arrangement 1, by 21 meV per atom.

Arrangement 1

Crystalline Dy4Y4Er at its relaxed geometry. Source: the Alexandria database, functional PBE-GGA.

Values from the calculation:
Mass density = 6.8 g/cm3
D(E_F) = 1.479 states/eV/atom
Total magnetization = 0.0 μB/f.u.
Symmetry = I4/mmm (139)

```
9
Lattice="5.0144 0.0000 0.0000 2.5072 7.5397 0.0000 2.5072 0.0000 7.5397" Properties=species:S:1:pos:R:3 pbc="T T T"
Dy 5.0144 2.5206 2.5208
Dy 5.0144 5.0191 5.0189
Dy 2.5072 5.0189 2.5206
Dy 7.5216 2.5208 5.0191
Y 5.0144 5.0300 0.0005
Y 5.0144 2.5097 7.5392
Y 7.5216 7.5392 5.0300
Y 2.5072 0.0005 2.5097
Er 0.0000 0.0000 0.0000
```

Arrangement 2

Crystalline Dy4Y4Er at its relaxed geometry. Source: the Alexandria database, functional PBE-GGA.

Values from the calculation:
Mass density = 6.7 g/cm3
D(E_F) = 1.887 states/eV/atom
Total magnetization = 0.0 μB/f.u.
Symmetry = P-1 (2)

```
9
Lattice="-3.2808 -1.3339 4.2050 0.4197 -8.7221 1.1890 4.5943 -5.5213 5.4596" Properties=species:S:1:pos:R:3 pbc="T T T"
Dy -0.5523 -6.2433 4.7925
Dy -0.9454 -9.9892 6.9267
Dy 2.2854 -9.3340 6.0611
Dy 2.6785 -5.5882 3.9269
Y 0.5057 -3.2508 2.9744
Y 1.2274 -12.3265 7.8792
Y 1.7544 -9.1057 9.3117
Y -0.0212 -6.4716 1.5420
Er -1.6404 -0.6670 2.1025
```

Which is most stable, and by how much? arrangement 1, by 85 meV per atom.

Arrangement 1

Crystalline Dy5Y12Er2 at its relaxed geometry. Source: the Alexandria database, functional PBE-GGA.

Values from the calculation:
Mass density = 5.9 g/cm3
D(E_F) = 1.501 states/eV/atom
Total magnetization = 0.0 μB/f.u.
Symmetry = C2/m (12)

```
19
Lattice="9.3049 0.0000 0.0000 -4.6525 7.6659 1.1256 0.0000 -1.5188 8.4706" Properties=species:S:1:pos:R:3 pbc="T T T"
Dy 0.0000 2.6609 5.3603
Dy 0.0000 3.0534 8.9691
Dy 0.0000 -0.7594 4.2353
Dy 4.6525 3.0937 0.6272
Dy 4.6525 3.4861 4.2359
Y 4.6525 6.3017 2.0240
Y -2.9791 4.2114 7.2469
Y 2.9791 4.2114 7.2469
Y -1.7854 5.1821 3.6509
Y 1.7854 5.1821 3.6509
Y 0.0000 5.7692 6.6376
Y 4.6525 0.3779 2.9587
Y 6.4378 0.9649 5.9454
Y 2.8671 0.9649 5.9454
Y 7.6316 1.9357 2.3494
Y 1.6734 1.9357 2.3494
Y 0.0000 -0.1547 7.5722
Er 6.2537 0.0000 0.0000
Er 3.0512 0.0000 0.0000
```

Arrangement 2

Crystalline Dy5Y12Er2 at its relaxed geometry. Source: the Alexandria database, functional PBE-GGA.

Values from the calculation:
Mass density = 6.1 g/cm3
D(E_F) = 1.449 states/eV/atom
Total magnetization = 0.0 μB/f.u.
Symmetry = P-1 (2)

```
19
Lattice="-3.2825 -4.6988 2.2601 10.1732 -7.5159 1.9706 -13.9658 13.2453 4.4351" Properties=species:S:1:pos:R:3 pbc="T T T"
Dy -4.1504 1.9870 5.1246
Dy 4.4023 -3.8324 2.6224
Dy -6.9829 6.6226 2.2175
Dy -11.4774 4.8629 6.0433
Dy -2.9247 -0.9565 3.5411
Y -2.7828 2.1447 1.8387
Y -8.3420 6.4622 5.4991
Y -8.4850 3.3441 7.2224
Y 0.2106 0.6312 2.9972
Y 0.0498 -2.4843 4.7293
Y -11.3328 7.9853 4.3176
Y 4.2577 -6.9548 4.3481
Y -7.2857 0.3993 5.6686
Y -7.1249 3.5148 3.9364
Y 1.2669 -5.4317 3.1667
Y 1.4099 -2.3136 1.4433
Y -4.2923 -1.1142 6.8270
Er -1.7226 -3.8959 1.9833
Er -5.3525 4.9264 6.6825
```

Which is most stable, and by how much? arrangement 2, by 102 meV per atom.

Arrangement 1

Crystalline Dy2Y3Er6 at its relaxed geometry. Source: the Alexandria database, functional PBE-GGA.

Values from the calculation:
Mass density = 7.6 g/cm3
D(E_F) = 2.090 states/eV/atom
Total magnetization = 0.0 μB/f.u.
Symmetry = R-3m (166)

```
11
Lattice="5.5901 0.0000 0.3429 2.7845 4.8472 0.3429 2.0085 1.1625 12.9923" Properties=species:S:1:pos:R:3 pbc="T T T"
Dy 5.0856 2.9435 8.5671
Dy 5.2976 3.0662 5.1111
Y 0.0000 0.0000 0.0000
Y 8.1759 4.7322 3.9247
Y 2.2072 1.2775 9.7534
Er 7.7477 4.4844 10.9048
Er 2.6354 1.5254 2.7734
Er 7.9670 4.6113 7.3293
Er 2.4161 1.3984 6.3489
Er 5.5165 3.1929 1.5426
Er 4.8666 2.8168 12.1356
```

Arrangement 2

Crystalline Dy2Y3Er6 at its relaxed geometry. Source: the Alexandria database, functional PBE-GGA.

Values from the calculation:
Mass density = 7.3 g/cm3
D(E_F) = 1.608 states/eV/atom
Total magnetization = 0.0 μB/f.u.
Symmetry = I4/mmm (139)

```
11
Lattice="-1.7155 -1.2449 -4.1969 3.4926 -3.1069 -0.5061 -10.1253 -9.3810 9.5551" Properties=species:S:1:pos:R:3 pbc="T T T"
Dy -8.3844 -10.4904 6.5388
Dy 0.0361 -3.2424 -1.6867
Y 0.0000 0.0000 0.0000
Y -4.6097 -9.0552 1.9365
Y -3.7386 -4.6776 2.9156
Er -0.4843 -4.3443 1.4865
Er -3.0883 -3.4133 -0.3589
Er -7.8640 -9.3885 3.3655
Er -5.2599 -10.3195 5.2110
Er -2.6783 -6.6386 0.4302
Er -5.6700 -7.0941 4.4219
```

Which is most stable, and by how much? arrangement 1, by 144 meV per atom.

Arrangement 1

Crystalline Dy4Y6Er at its relaxed geometry. Source: the Alexandria database, functional PBE-GGA.

Values from the calculation:
Mass density = 6.0 g/cm3
D(E_F) = 1.187 states/eV/atom
Total magnetization = 0.0 μB/f.u.
Symmetry = I-42m (121)

```
11
Lattice="7.5105 0.0000 0.0000 0.0000 7.5105 0.0000 -3.7553 -3.7553 6.6628" Properties=species:S:1:pos:R:3 pbc="T T T"
Dy -2.5080 2.5079 5.6229
Dy 6.2632 6.2632 1.0399
Dy 2.5079 -2.5080 5.6229
Dy 1.2473 1.2473 1.0399
Y 5.5090 2.0015 2.4810
Y 2.0015 5.5090 2.4810
Y 1.7538 1.7538 4.1818
Y 0.0000 3.7553 0.0000
Y -1.7538 -1.7538 4.1818
Y 3.7553 0.0000 0.0000
Er 3.7553 3.7553 0.0000
```

Arrangement 2

Crystalline Dy4Y6Er at its relaxed geometry. Source: the Alexandria database, functional PBE-GGA.

Values from the calculation:
Mass density = 6.4 g/cm3
D(E_F) = 1.878 states/eV/atom
Total magnetization = 0.0 μB/f.u.
Symmetry = Cmcm (63)

```
22
Lattice="5.6902 0.0000 0.0000 -2.8451 4.8272 0.0000 0.0000 0.0000 25.6792" Properties=species:S:1:pos:R:3 pbc="T T T"
Dy 2.8451 3.2885 13.9296
Dy 0.0000 4.6022 3.1118
Dy 0.0000 1.5387 11.7497
Dy 2.8451 0.2250 22.5674
Dy 2.8451 3.2885 24.5893
Dy 0.0000 1.5387 1.0899
Dy 2.8451 0.2250 15.9514
Dy 0.0000 4.6022 9.7278
Y 2.8451 0.0000 0.0000
Y 2.8451 0.0000 12.8396
Y 0.0000 1.4334 8.1742
Y 2.8451 3.3938 17.5050
Y 2.8451 3.3938 21.0138
Y 0.0000 1.4334 4.6654
Y 2.8451 3.0365 10.1541
Y 0.0000 1.7907 15.5251
Y 0.0000 1.7907 22.9937
Y 2.8451 3.0365 2.6855
Y 0.0000 4.6753 6.4198
Y 2.8451 0.1519 19.2594
Er 2.8451 3.0741 6.4198
Er 0.0000 1.7531 19.2594
```

Which is most stable, and by how much? arrangement 2, by 306 meV per atom.

Arrangement 1

Crystalline Dy5Y2Er2 at its relaxed geometry. Source: the Alexandria database, functional PBE-GGA.

Values from the calculation:
Mass density = 7.6 g/cm3
D(E_F) = 1.680 states/eV/atom
Total magnetization = 0.0 μB/f.u.
Symmetry = Ima2 (46)

```
18
Lattice="11.6758 0.0000 0.0000 0.0000 6.6894 0.0000 -5.8379 -3.3447 7.4133" Properties=species:S:1:pos:R:3 pbc="T T T"
Dy -2.8822 1.4036 6.6497
Dy 8.7201 4.7483 0.7636
Dy -2.9557 -1.9411 6.6497
Dy 8.7936 1.4036 0.7636
Dy 2.7609 -0.7473 2.1222
Dy 3.0770 2.5974 5.2911
Dy 3.0770 2.5974 2.1222
Dy 2.7609 -0.7473 5.2911
Dy 8.7120 2.6856 3.7066
Dy -2.8740 -0.6591 3.7066
Y -0.0369 3.7253 1.8787
Y 5.8748 0.3806 5.5346
Y 5.8748 0.3805 1.8787
Y -0.0369 3.7253 5.5346
Er 0.0000 0.1041 0.0000
Er 5.8379 3.4488 0.0000
Er 0.1485 0.7289 3.7066
Er 5.6894 4.0736 3.7066
```

Arrangement 2

Crystalline Dy5Y2Er2 at its relaxed geometry. Source: the Alexandria database, functional PBE-GGA.

Values from the calculation:
Mass density = 7.7 g/cm3
D(E_F) = 2.154 states/eV/atom
Total magnetization = 0.0 μB/f.u.
Symmetry = C2/m (12)

```
9
Lattice="-5.7072 -0.5594 -0.5560 -2.4878 -7.5877 3.3192 -3.3503 -3.4477 8.0082" Properties=species:S:1:pos:R:3 pbc="T T T"
Dy -5.5201 -8.9960 6.0111
Dy -6.0252 -2.5987 4.7603
Dy -5.9322 -8.2632 9.5047
Dy -5.6131 -3.3315 1.2667
Dy 0.0000 0.0000 0.0000
Y -5.9735 -5.5227 7.1705
Y -5.5719 -6.0720 3.6009
Er -2.9776 -4.1086 4.8472
Er -8.5677 -7.4862 5.9242
```

Which is most stable, and by how much? arrangement 2, by 106 meV per atom.